[1]
{"formula": "K2DyIrO6", "functional": "PBE-GGA", "state": "optimized geometry", "dft_energy_ev_per_atom": -6.2563, "sg": "Fm-3m (225)", "crystal_system": "cubic", "lattice": [[0.000, 4.162, 4.162], [4.162, 0.000, 4.162], [4.162, 4.162, 0.000]], "species": ["K", "K", "Dy", "Ir", "O", "O", "O", "O", "O", "O"], "frac_coords": [[0.250, 0.250, 0.250], [0.750, 0.750, 0.750], [0.000, 0.000, 0.000], [0.500, 0.500, 0.500], [0.269, 0.269, 0.731], [0.269, 0.731, 0.269], [0.269, 0.731, 0.731], [0.731, 0.269, 0.269], [0.731, 0.269, 0.731], [0.731, 0.731, 0.269]]}

=====

[2]
{"formula": "TbPr2Sc4", "functional": "PBE-GGA", "state": "optimized geometry", "formation_enthalpy_0k_ev_per_atom": 0.089, "sg": "P1 (1)", "crystal_system": "triclinic", "lattice": [[5.589, 0.000, 0.000], [2.788, 7.997, 0.000], [2.789, -0.577, 9.028]], "species": ["Tb", "Tb", "Pr", "Pr", "Pr", "Pr", "Sc", "Sc", "Sc", "Sc", "Sc", "Sc", "Sc", "Sc"], "frac_coords": [[0.000, 0.000, 0.000], [0.320, 0.113, 0.246], [0.083, 0.490, 0.499], [0.166, 0.556, 0.123], [0.275, 0.056, 0.623], [0.393, 0.623, 0.747], [0.467, 0.191, 0.891], [0.476, 0.714, 0.375], [0.603, 0.774, 0.021], [0.714, 0.251, 0.554], [0.718, 0.340, 0.226], [0.839, 0.861, 0.693], [0.869, 0.921, 0.355], [0.886, 0.399, 0.872]]}

=====

[3]
{"formula": "Ag12PdAu6", "functional": "PBE-GGA", "state": "optimized geometry", "e_above_lowest_polymorph_mev_per_atom": 0, "formation_enthalpy_0k_ev_per_atom": -0.037, "sg": "R-3 (148)", "crystal_system": "trigonal", "lattice": [[6.381, 3.684, 2.394], [-6.381, 3.684, 2.394], [0.000, -7.369, 2.394]], "species": ["Ag", "Ag", "Ag", "Ag", "Ag", "Ag", "Ag", "Ag", "Ag", "Ag", "Ag", "Ag", "Pd", "Au", "Au", "Au", "Au", "Au", "Au"], "frac_coords": [[0.059, 0.374, 0.585], [0.103, 0.736, 0.156], [0.156, 0.103, 0.736], [0.264, 0.844, 0.897], [0.374, 0.585, 0.059], [0.415, 0.941, 0.626], [0.585, 0.059, 0.374], [0.626, 0.415, 0.941], [0.736, 0.156, 0.103], [0.844, 0.897, 0.264], [0.897, 0.264, 0.844], [0.941, 0.626, 0.415], [0.000, 0.000, 0.000], [0.206, 0.469, 0.311], [0.311, 0.206, 0.469], [0.469, 0.311, 0.206], [0.531, 0.689, 0.794], [0.689, 0.794, 0.531], [0.794, 0.531, 0.689]]}

=====

[4]
{"formula": "Ag4I2Cl5", "functional": "PBE-GGA", "state": "optimized geometry", "dft_energy_ev_per_atom": -2.4429, "sg": "P-1 (2)", "crystal_system": "triclinic", "lattice": [[6.762, 0.000, 0.000], [-2.879, 6.949, 0.000], [-0.337, -0.392, 7.942]], "species": ["Ag", "Ag", "Ag", "Ag", "I", "I", "Cl", "Cl", "Cl", "Cl", "Cl"], "frac_coords": [[0.208, 0.330, 0.032], [0.240, 0.693, 0.377], [0.760, 0.307, 0.623], [0.792, 0.670, 0.968], [0.037, 0.682, 0.685], [0.963, 0.318, 0.315], [0.110, 0.869, 0.133], [0.494, 0.418, 0.802], [0.500, 0.000, 0.500], [0.506, 0.582, 0.198], [0.890, 0.131, 0.867]]}

=====

[5]
{"formula": "Pm2Y5Pt4", "functional": "PBE-GGA", "state": "optimized geometry", "formation_enthalpy_0k_ev_per_atom": -0.684, "sg": "C2/m (12)", "crystal_system": "monoclinic", "lattice": [[12.357, -1.883, 0.000], [12.357, 1.883, 0.000], [-0.474, 0.000, 6.786]], "species": ["Pm", "Pm", "Y", "Y", "Y", "Y", "Y", "Pt", "Pt", "Pt", "Pt"], "frac_coords": [[0.091, 0.091, 0.169], [0.909, 0.909, 0.831], [0.133, 0.133, 0.693], [0.236, 0.236, 0.234], [0.500, 0.500, 0.500], [0.764, 0.764, 0.766], [0.867, 0.867, 0.307], [0.025, 0.025, 0.803], [0.330, 0.330, 0.004], [0.670, 0.670, 0.996], [0.975, 0.975, 0.197]]}

=====

[6]
{"formula": "KPbF2", "functional": "PBE-GGA", "state": "optimized geometry", "e_above_lowest_polymorph_mev_per_atom": 0, "sg": "R-3m (166)", "crystal_system": "trigonal", "lattice": [[1.836, 1.060, 7.786], [-1.836, 1.060, 7.786], [0.000, -2.120, 7.786]], "species": ["K", "Pb", "F", "F"], "frac_coords": [[0.000, 0.000, 0.000], [0.500, 0.500, 0.500], [0.400, 0.400, 0.400], [0.600, 0.600, 0.600]]}